Entry 1:
First-principles (GGA-PBE) data for a relaxed SmThAgBi crystal, as listed in Alexandria.

Cell and atoms, written as CIF:
```
data_SmThAgBi
_cell_length_a 7.683
_cell_length_b 7.683
_cell_length_c 7.683
_cell_angle_alpha 90.00
_cell_angle_beta 90.00
_cell_angle_gamma 90.00
_symmetry_space_group_name_H-M 'F -4 3 m'
_symmetry_Int_Tables_number 216
_symmetry_space_group_name_Hall 'F -4 2 3'
loop_
_atom_site_label
_atom_site_type_symbol
_atom_site_fract_x
_atom_site_fract_y
_atom_site_fract_z
Sm1 Sm 0.000 0.000 0.000
Th1 Th 0.000 0.000 0.500
Ag1 Ag 0.250 0.250 0.750
Bi1 Bi 0.250 0.250 0.250
```

Summary:
Magnetic moment: 0.0 μB per formula unit
ΔH_f (0 K): -1.2 eV/f.u.


Entry 2:
First-principles (GGA-PBE) data for a relaxed Ag3Sn3Bi crystal, as listed in Alexandria.

Cell and atoms, written as CIF:
```
data_Ag3Sn3Bi
_cell_length_a 7.656
_cell_length_b 7.656
_cell_length_c 7.656
_cell_angle_alpha 90.00
_cell_angle_beta 90.00
_cell_angle_gamma 90.00
_symmetry_space_group_name_H-M 'P m -3 n'
_symmetry_Int_Tables_number 223
_symmetry_space_group_name_Hall '-P 4n 2 3'
loop_
_atom_site_label
_atom_site_type_symbol
_atom_site_fract_x
_atom_site_fract_y
_atom_site_fract_z
Ag1 Ag 0.000 0.250 0.500
Sn1 Sn 0.000 0.500 0.250
Bi1 Bi 0.000 0.000 0.000
```

Summary:
Magnetic moment: 0.0 μB per formula unit
ΔH_f (0 K): 3.7 eV/f.u.